(a)
Density functional theory data (PBE) for crystalline Pm3Er2Tm5 at its relaxed geometry.

a b c (Å): 6.2433 11.0187 11.0187
angles (deg): 99.48 73.54 73.54
With the nearest neighbours (Å) after each atom.
Element x y z (fractional)
1 Tm 0.0034 0.7466 0.7466  3 Tm 3.12-3.16, 1 Pm 3.24
2 Tm 0.0978 0.5575 0.2469  1 Er 3.18, 2 Tm 3.29, 1 Pm 3.48
3 Tm 0.9966 0.2534 0.2534  3 Tm 3.12-3.16, 1 Pm 3.24
4 Tm 0.7500 0.5000 0.5000  8 Tm 3.12-3.29
5 Tm 0.9022 0.4425 0.7531  1 Er 3.18, 2 Tm 3.29, 1 Pm 3.48
6 Tm 0.5034 0.7466 0.7466  3 Tm 3.12-3.16, 1 Pm 3.24
7 Tm 0.4966 0.2534 0.2534  3 Tm 3.12-3.16, 1 Pm 3.24
8 Tm 0.2500 0.5000 0.5000  8 Tm 3.12-3.29
9 Tm 0.4022 0.7531 0.4425  1 Er 3.18, 2 Tm 3.29, 1 Pm 3.48
10 Tm 0.5978 0.2469 0.5575  1 Er 3.18, 2 Tm 3.29, 1 Pm 3.48
11 Er 0.6030 0.0528 0.7411  1 Tm 3.18, 5 Pm 3.32-3.55
12 Er 0.1030 0.7411 0.0528  1 Tm 3.18, 5 Pm 3.32-3.55
13 Er 0.3970 0.9472 0.2589  1 Tm 3.18, 5 Pm 3.32-3.55
14 Er 0.8970 0.2589 0.9472  1 Tm 3.18, 5 Pm 3.32-3.55
15 Pm 0.6581 0.5953 0.0884  4 Er 3.47-3.67, 4 Tm 3.48-3.67
16 Pm 0.7500 0.0000 0.0000  2 Pm 3.12, 2 Tm 3.24, 4 Er 3.32
17 Pm 0.2500 0.0000 0.0000  2 Pm 3.12, 2 Tm 3.24, 4 Er 3.32
18 Pm 0.8419 0.9116 0.4047  4 Er 3.47-3.67, 4 Tm 3.48-3.67
19 Pm 0.3419 0.4047 0.9116  4 Er 3.47-3.67, 4 Tm 3.48-3.67
20 Pm 0.1581 0.0884 0.5953  4 Er 3.47-3.67, 4 Tm 3.48-3.67

(b)
Density functional theory data (PBE) for crystalline Pm3Er2Tm5 at its relaxed geometry.

a b c (Å): 9.3736 9.3504 11.0558
angles (deg): 125.18 125.23 68.81
With the nearest neighbours (Å) after each atom.
Element x y z (fractional)
1 Tm 0.6308 0.8823 0.2785  3 Tm 3.44-3.68, 3 Pm 3.44-3.60, 2 Er 3.45-3.56
2 Tm 0.8523 0.6038 0.7215  3 Tm 3.44-3.68, 3 Pm 3.44-3.60, 2 Er 3.45-3.56
3 Tm 0.2717 0.5217 0.0433  1 Tm 3.15, 4 Pm 3.27-3.52
4 Tm 0.5290 0.2790 0.5581  3 Tm 3.15-3.44, 4 Er 3.26-3.38, 2 Pm 3.45
5 Tm 0.1477 0.3962 0.2785  3 Tm 3.44-3.68, 3 Pm 3.44-3.60, 2 Er 3.45-3.56
6 Tm 0.3692 0.1177 0.7215  3 Tm 3.44-3.68, 3 Pm 3.44-3.60, 2 Er 3.45-3.56
7 Tm 0.9728 0.2228 0.4455  5 Pm 3.28-3.41, 2 Er 3.37, 2 Tm 3.44
8 Tm 0.7283 0.4783 0.9567  1 Tm 3.15, 4 Pm 3.27-3.52
9 Tm 0.4710 0.7210 0.4419  3 Tm 3.15-3.44, 4 Er 3.26-3.38, 2 Pm 3.45
10 Tm 0.0272 0.7772 0.5545  5 Pm 3.28-3.41, 2 Er 3.37, 2 Tm 3.44
11 Er 0.4656 0.7194 0.7334  2 Pm 3.14-3.29, 4 Tm 3.26-3.45
12 Er 0.7679 0.0140 0.7334  2 Pm 3.14-3.29, 4 Tm 3.26-3.45
13 Er 0.2321 0.9860 0.2666  2 Pm 3.14-3.29, 4 Tm 3.26-3.45
14 Er 0.5344 0.2806 0.2666  2 Pm 3.14-3.29, 4 Tm 3.26-3.45
15 Pm 0.7315 0.4765 0.2532  1 Er 3.14, 5 Tm 3.27-3.45
16 Pm 0.2685 0.5235 0.7468  1 Er 3.14, 5 Tm 3.27-3.45
17 Pm 0.7652 0.0152 0.0304  3 Tm 3.28-3.60, 4 Er 3.29-3.58, 2 Pm 3.53
18 Pm 0.9783 0.2233 0.7468  1 Er 3.14, 5 Tm 3.27-3.45
19 Pm 0.2348 0.9848 0.9696  3 Tm 3.28-3.60, 4 Er 3.29-3.58, 2 Pm 3.53
20 Pm 0.0217 0.7767 0.2532  1 Er 3.14, 5 Tm 3.27-3.45

Relative energies with respect to the most stable structure, expressed in meV/atom: (a) 147; (b) 0.

(a)
Density functional theory data (PBE) for crystalline PmEr6Tm3 at its relaxed geometry.

a b c (Å): 9.6855 9.6855 6.8122
angles (deg): 44.69 44.69 60.00
With the nearest neighbours (Å) after each atom.
Element x y z (fractional)
1 Er 0.0697 0.4093 0.7840  3 Tm 3.23-3.41
2 Er 0.5657 0.2390 0.2867  1 Pm 3.26, 2 Tm 3.33-3.37
3 Er 0.9085 0.5657 0.2867  1 Pm 3.26, 2 Tm 3.33-3.37
4 Er 0.7369 0.0697 0.7840  3 Tm 3.23-3.41
5 Er 0.2390 0.9085 0.2867  1 Pm 3.26, 2 Tm 3.33-3.37
6 Er 0.4093 0.7369 0.7840  3 Tm 3.23-3.41
7 Tm 0.6377 0.6377 0.0869  1 Tm 2.85, 1 Pm 3.02
8 Tm 0.1428 0.1428 0.5717  1 Pm 2.87, 1 Tm 2.93
9 Tm 0.3936 0.3936 0.8193  2 Tm 2.85-2.93
10 Pm 0.8968 0.8968 0.3097  2 Tm 2.87-3.02

(b)
Density functional theory data (PBE) for crystalline PmEr6Tm3 at its relaxed geometry.

a b c (Å): 6.1348 10.8438 10.8438
angles (deg): 119.90 90.00 90.00
With the nearest neighbours (Å) after each atom.
Element x y z (fractional)
1 Er 0.4164 0.9517 0.0483  1 Pm 3.39, 4 Tm 3.50-3.59, 4 Er 3.56-3.69
2 Er 0.8615 0.4543 0.0338  2 Tm 3.24-3.57, 2 Pm 3.24-3.38, 5 Er 3.27-3.41
3 Er 0.5261 0.6193 0.7118  4 Tm 3.36-3.50, 6 Er 3.39-3.69
4 Er 0.3615 0.0338 0.4543  2 Tm 3.24-3.57, 2 Pm 3.24-3.38, 5 Er 3.27-3.41
5 Er 0.6416 0.2901 0.7099  1 Tm 3.27, 6 Er 3.27-3.63, 2 Pm 3.29-3.55
6 Er 0.0261 0.7118 0.6193  4 Tm 3.36-3.50, 6 Er 3.39-3.69
7 Er 0.8615 0.9662 0.5457  2 Tm 3.24-3.57, 2 Pm 3.24-3.38, 5 Er 3.27-3.41
8 Er 0.5261 0.2882 0.3807  4 Tm 3.36-3.50, 6 Er 3.39-3.69
9 Er 0.9164 0.0483 0.9517  1 Pm 3.39, 4 Tm 3.50-3.59, 4 Er 3.56-3.69
10 Er 0.0261 0.3807 0.2882  4 Tm 3.36-3.50, 6 Er 3.39-3.69
11 Er 0.1416 0.7099 0.2901  1 Tm 3.27, 6 Er 3.27-3.63, 2 Pm 3.29-3.55
12 Er 0.3615 0.5457 0.9662  2 Tm 3.24-3.57, 2 Pm 3.24-3.38, 5 Er 3.27-3.41
13 Tm 0.9547 0.0669 0.2827  1 Pm 3.22, 6 Er 3.24-3.59
14 Tm 0.5772 0.6099 0.3901  5 Er 3.27-3.50, 1 Pm 3.44, 2 Tm 3.61
15 Tm 0.9547 0.7173 0.9331  1 Pm 3.22, 6 Er 3.24-3.59
16 Tm 0.4547 0.2827 0.0669  1 Pm 3.22, 6 Er 3.24-3.59
17 Tm 0.4547 0.9331 0.7173  1 Pm 3.22, 6 Er 3.24-3.59
18 Tm 0.0772 0.3901 0.6099  5 Er 3.27-3.50, 1 Pm 3.44, 2 Tm 3.61
19 Pm 0.1655 0.2092 0.7908  3 Tm 3.22-3.44, 7 Er 3.24-3.55
20 Pm 0.6655 0.7908 0.2092  3 Tm 3.22-3.44, 7 Er 3.24-3.55

Relative energies with respect to the most stable structure, expressed in meV/atom: (a) 131; (b) 0.

(a)
Density functional theory data (PBE) for crystalline Pm7Er2Tm3 at its relaxed geometry.

a b c (Å): 3.6008 5.8179 18.8871
angles (deg): 94.04 90.00 90.00
With the nearest neighbours (Å) after each atom.
Element x y z (fractional)
1 Tm 0.0000 0.7819 0.6322  2 Tm 3.60, 8 Pm 3.62-3.90, 4 Er 3.65-3.68
2 Tm 0.5000 0.5000 0.0000  8 Pm 3.38-3.42, 2 Tm 3.60
3 Tm 0.0000 0.2181 0.3678  2 Tm 3.60, 8 Pm 3.62-3.90, 4 Er 3.65-3.68
4 Pm 0.5000 0.7417 0.4655  1 Er 3.15, 2 Pm 3.18-3.19
5 Pm 0.0000 0.0000 0.0000  4 Tm 3.42, 4 Pm 3.44-3.60
6 Pm 0.0000 0.3260 0.8549  2 Tm 3.38, 2 Er 3.40, 7 Pm 3.44-3.60
7 Pm 0.5000 0.8228 0.8161  6 Pm 3.47-3.60, 2 Er 3.60-3.63
8 Pm 0.5000 0.1772 0.1839  6 Pm 3.47-3.60, 2 Er 3.60-3.63
9 Pm 0.0000 0.6740 0.1451  2 Tm 3.38, 2 Er 3.40, 7 Pm 3.44-3.60
10 Pm 0.5000 0.2583 0.5345  1 Er 3.15, 2 Pm 3.18-3.19
11 Er 0.5000 0.7061 0.2980  3 Pm 3.15-3.40
12 Er 0.5000 0.2939 0.7020  3 Pm 3.15-3.40

(b)
Density functional theory data (PBE) for crystalline Pm7Er2Tm3 at its relaxed geometry.

a b c (Å): 3.5616 6.4171 17.2968
angles (deg): 90.20 90.00 90.00
With the nearest neighbours (Å) after each atom.
Element x y z (fractional)
1 Pm 0.5000 0.8237 0.8289  1 Er 3.47, 8 Pm 3.56-3.68, 3 Tm 3.62-3.63
2 Pm 0.5000 0.7590 0.5062  2 Pm 3.10-3.33, 2 Er 3.34-3.44
3 Pm 0.5000 0.2410 0.4938  2 Pm 3.10-3.33, 2 Er 3.34-3.44
4 Pm 0.0000 0.0000 0.0000  8 Pm 3.56-3.63, 4 Tm 3.67
5 Pm 0.0000 0.3225 0.8332  2 Er 3.50, 7 Pm 3.56-3.68, 3 Tm 3.57-3.66
6 Pm 0.0000 0.6775 0.1668  2 Er 3.50, 7 Pm 3.56-3.68, 3 Tm 3.57-3.66
7 Pm 0.5000 0.1763 0.1711  1 Er 3.47, 8 Pm 3.56-3.68, 3 Tm 3.62-3.63
8 Tm 0.0000 0.9993 0.3418  7 Pm 3.53-3.70, 2 Tm 3.56, 4 Er 3.61-3.75
9 Tm 0.5000 0.5000 0.0000  2 Tm 3.56, 10 Pm 3.57-3.67
10 Tm 0.0000 0.0007 0.6582  7 Pm 3.53-3.70, 2 Tm 3.56, 4 Er 3.61-3.75
11 Er 0.5000 0.5117 0.3292  5 Pm 3.34-3.50, 2 Er 3.56, 2 Tm 3.61
12 Er 0.5000 0.4883 0.6708  5 Pm 3.34-3.50, 2 Er 3.56, 2 Tm 3.61

Relative energies with respect to the most stable structure, expressed in meV/atom: (a) 16; (b) 0.

(a)
Density functional theory data (PBE) for crystalline Pm4ErTm at its relaxed geometry.

a b c (Å): 5.6835 12.1165 6.6914
angles (deg): 73.09 115.13 90.00
With the nearest neighbours (Å) after each atom.
Element x y z (fractional)
1 Pm 0.9840 0.2163 0.4324  3 Pm 3.14-3.28
2 Pm 0.2024 0.9503 0.9009  5 Pm 3.28-3.55, 1 Tm 3.64, 2 Er 3.65-3.67
3 Pm 0.4484 0.7163 0.4324  3 Pm 3.14-3.28
4 Pm 0.5516 0.2837 0.5676  3 Pm 3.14-3.28
5 Pm 0.3015 0.5497 0.0991  5 Pm 3.28-3.55, 1 Tm 3.64, 2 Er 3.65-3.67
6 Pm 0.7976 0.0497 0.0991  5 Pm 3.28-3.55, 1 Tm 3.64, 2 Er 3.65-3.67
7 Pm 0.6985 0.4503 0.9009  5 Pm 3.28-3.55, 1 Tm 3.64, 2 Er 3.65-3.67
8 Pm 0.0160 0.7837 0.5676  3 Pm 3.14-3.28
9 Er 0.5000 0.0000 0.5000  2 Tm 3.53, 12 Pm 3.59-3.87
10 Er 0.0000 0.5000 0.5000  2 Tm 3.53, 12 Pm 3.59-3.87
11 Tm 0.7469 0.7500 0.0000  2 Er 3.53, 12 Pm 3.59-3.87
12 Tm 0.2531 0.2500 0.0000  2 Er 3.53, 12 Pm 3.59-3.87

(b)
Density functional theory data (PBE) for crystalline Pm4ErTm at its relaxed geometry.

a b c (Å): 3.4592 8.2354 8.2353
angles (deg): 89.99 90.00 90.00
With the nearest neighbours (Å) after each atom.
Element x y z (fractional)
1 Pm 0.5000 0.2602 0.7398  1 Tm 3.03, 2 Er 3.28
2 Pm 0.5000 0.7398 0.2602  1 Tm 3.03, 2 Er 3.28
3 Pm 0.0000 0.2390 0.2390  1 Er 3.04, 2 Tm 3.28
4 Pm 0.0000 0.7610 0.7610  1 Er 3.04, 2 Tm 3.28
5 Tm 0.5000 0.0000 0.0000  6 Pm 3.03-3.28
6 Er 0.0000 0.5000 0.5000  6 Pm 3.04-3.28

Relative energies with respect to the most stable structure, expressed in meV/atom: (a) 0; (b) 575.